Record 1
! CuReTc2, optimized geometry, DFT PBE-GGA; values from VASP
&SYSTEM
  ibrav = 0, nat = 4, ntyp = 3
/
ATOMIC_SPECIES
Cu 63.55 Cu.upf
Re 186.21 Re.upf
Tc 98.00 Tc.upf
CELL_PARAMETERS angstrom
-1.2003 -0.5051 -2.3020
-1.3630 -0.8524 2.1002
-4.2357 7.9280 0.4689
ATOMIC_POSITIONS angstrom
Cu -2.1166 3.9617 0.2343
Re -4.4557 5.2622 0.2505
Tc -0.0025 0.0047 0.0003
Tc -2.3420 1.3059 0.0165
! * relative energy among the computed polymorphs: 175 meV/atom

Record 2
! Cs2CaTeS4, optimized geometry, DFT PBE-GGA; values from VASP
&SYSTEM
  ibrav = 0, nat = 16, ntyp = 4
/
ATOMIC_SPECIES
Cs 132.91 Cs.upf
Ca 40.08 Ca.upf
Te 127.60 Te.upf
S 32.06 S.upf
CELL_PARAMETERS angstrom
-1.7847 -0.9671 6.5305
-1.9703 -7.8518 1.8795
11.1798 -2.8055 6.2206
ATOMIC_POSITIONS angstrom
Cs 6.7849 -1.9602 5.1447
Cs 2.6101 -1.8124 7.6064
Cs 7.6610 -6.8993 10.0238
Cs -1.1287 -5.2087 7.8720
Ca 3.2662 -6.0540 8.9479
Ca 0.0000 0.0000 0.0000
Te 4.1585 -5.5704 5.6827
Te -0.8924 -0.4835 3.2652
S -1.0164 -6.8402 4.1712
S 9.2882 -4.3252 7.3598
S 6.9088 -9.6417 12.9021
S -0.3312 -2.4417 4.8282
S 2.3122 -7.0656 6.6562
S 5.1577 -4.5343 7.8087
S 3.7820 -8.0367 10.6765
S 3.5974 -3.6122 4.1198
! * uncorrected formation energy: -0.856 eV/atom

Record 3
! Tb2Pm6Nd, optimized geometry, DFT PBE-GGA; values from VASP
&SYSTEM
  ibrav = 0, nat = 18, ntyp = 3
/
ATOMIC_SPECIES
Tb 158.93 Tb.upf
Pm 145.00 Pm.upf
Nd 144.24 Nd.upf
CELL_PARAMETERS angstrom
8.2606 0.0000 0.0000
0.0000 8.2606 0.0000
0.0000 0.0000 10.5245
ATOMIC_POSITIONS angstrom
Tb 4.1303 4.1303 3.5137
Tb 4.1303 4.1303 7.0108
Tb 0.0000 0.0000 1.7485
Tb 0.0000 0.0000 8.7760
Pm 6.1003 6.1003 1.7501
Pm 6.1003 6.1003 8.7743
Pm 6.0903 6.0903 5.2622
Pm 6.3005 1.9600 0.0000
Pm 6.2906 1.9700 3.5121
Pm 6.2906 1.9700 7.0124
Pm 1.9700 6.2906 3.5121
Pm 1.9700 6.2906 7.0124
Pm 1.9600 6.3005 0.0000
Pm 2.1702 2.1702 5.2622
Pm 2.1603 2.1603 1.7501
Pm 2.1603 2.1603 8.7743
Nd 4.1303 4.1303 0.0000
Nd 0.0000 0.0000 5.2622
! * relative energy among the computed polymorphs: 610 meV/atom

Record 4
A relaxed structure of TmMg3Pb. Source: Alexandria via LeMat-Bulk, functional PBE-GGA. Values from VASP.

Quantum ESPRESSO input file:
```
&SYSTEM
  ibrav = 0, nat = 10, ntyp = 3
/
ATOMIC_SPECIES
Tm 168.93 Tm.upf
Mg 24.30 Mg.upf
Pb 207.20 Pb.upf
CELL_PARAMETERS angstrom
-4.7001 1.1347 -2.7967
-2.2916 -4.7100 1.9404
-0.2086 7.0313 8.7813
ATOMIC_POSITIONS angstrom
Tm -2.7752 1.1691 -0.4397
Tm -5.6294 5.2091 5.9960
Mg -5.0937 1.8407 6.4921
Mg -2.6667 -2.2092 3.5853
Mg -1.5102 0.1678 2.6061
Mg -2.7217 1.2681 7.9035
Mg -2.5220 3.5698 5.6866
Mg -4.6784 -0.1138 2.2383
Pb 0.0000 0.0000 0.0000
Pb -2.9981 0.2668 5.1467
```

Record 5
A relaxed structure of LaDyGa6. Source: Alexandria via LeMat-Bulk, functional PBE-GGA. Values from VASP.

Quantum ESPRESSO input file:
```
&SYSTEM
  ibrav = 0, nat = 8, ntyp = 3
/
ATOMIC_SPECIES
La 138.91 La.upf
Dy 162.50 Dy.upf
Ga 69.72 Ga.upf
CELL_PARAMETERS angstrom
-1.2768 -1.1187 4.2808
5.9748 -2.0577 1.2443
-1.5951 6.1371 1.1280
ATOMIC_POSITIONS angstrom
La 0.9202 2.1638 3.3168
Dy -0.9645 5.4544 1.1377
Ga -0.4265 2.3357 0.4832
Ga 2.0922 4.6817 1.8474
Ga 3.0102 1.1516 1.1988
Ga 1.9329 -0.8627 2.8280
Ga 3.8496 0.9227 3.8663
Ga 4.5486 -1.7642 3.3726
```

Record 6
A relaxed structure of TbCeCoHg. Source: Alexandria via LeMat-Bulk, functional PBE-GGA. Values from VASP.

Quantum ESPRESSO input file:
```
&SYSTEM
  ibrav = 0, nat = 4, ntyp = 4
/
ATOMIC_SPECIES
Co 58.93 Co.upf
Tb 158.93 Tb.upf
Hg 200.59 Hg.upf
Ce 140.12 Ce.upf
CELL_PARAMETERS angstrom
-4.0209 2.1309 2.2930
-4.3366 -2.6286 0.5005
-1.4733 -1.6334 4.5965
ATOMIC_POSITIONS angstrom
Co -2.4577 -0.5328 1.8475
Tb -4.9154 -1.0655 3.6950
Hg -7.3731 -1.5983 5.5425
Ce 0.0000 0.0000 0.0000
```

Record 7
A relaxed structure of Nd3PuAu7. Source: Alexandria via LeMat-Bulk, functional PBE-GGA. Values from VASP.

Quantum ESPRESSO input file:
```
&SYSTEM
  ibrav = 0, nat = 22, ntyp = 3
/
ATOMIC_SPECIES
Nd 144.24 Nd.upf
Pu 244.00 Pu.upf
Au 196.97 Au.upf
CELL_PARAMETERS angstrom
-7.9288 0.2396 8.1573
5.4867 -2.8961 -9.5381
6.3090 -9.1264 6.4003
ATOMIC_POSITIONS angstrom
Nd -3.2341 -4.2359 8.4644
Nd 7.1010 -7.5470 -3.4448
Nd -0.6669 -7.1966 9.6202
Nd 4.5338 -4.5863 -4.6006
Nd -5.6503 -0.7407 6.0133
Nd 9.5171 -11.0421 -0.9937
Pu 7.0256 -5.1687 -7.8875
Pu -3.1588 -6.6142 12.9070
Au 1.8939 -7.7952 6.2424
Au 1.9729 -3.9877 -1.2228
Au 1.9348 -5.2810 1.3329
Au 1.9321 -6.5019 3.6867
Au 4.0794 -9.6081 5.8651
Au -0.2125 -2.1748 -0.8455
Au -0.2046 -4.3655 3.3554
Au 4.0715 -7.4174 1.6641
Au -1.4857 -4.5587 5.9931
Au 5.3526 -7.2242 -0.9736
Au 7.6272 -10.5146 1.3340
Au -3.7603 -1.2683 3.6856
Au -1.6668 -2.2503 1.8721
Au 5.5337 -9.5326 3.1475
```

Record 8
! RuPb3O, optimized geometry, DFT PBE-GGA; values from VASP
&SYSTEM
  ibrav = 0, nat = 5, ntyp = 3
/
ATOMIC_SPECIES
Pb 207.20 Pb.upf
Ru 101.07 Ru.upf
O 16.00 O.upf
CELL_PARAMETERS angstrom
-1.1216 4.2508 -2.7299
-5.0225 -0.6367 1.0721
0.5448 2.8818 4.2636
ATOMIC_POSITIONS angstrom
Pb -2.5112 -0.3183 0.5360
Pb 0.2724 1.4409 2.1318
Pb -0.5608 2.1254 -1.3650
Ru 0.0000 0.0000 0.0000
O -2.7996 3.2480 1.3028
! * relative energy among the computed polymorphs: 34 meV/atom
! * uncorrected formation energy: 0.339 eV/atom

Record 9
! BeReBr2, optimized geometry, DFT PBE-GGA; values from VASP
&SYSTEM
  ibrav = 0, nat = 4, ntyp = 3
/
ATOMIC_SPECIES
Re 186.21 Re.upf
Br 79.90 Br.upf
Be 9.01 Be.upf
CELL_PARAMETERS angstrom
-1.7710 -2.6208 0.8616
3.0046 -0.1707 -1.3001
3.8240 0.3081 8.7973
ATOMIC_POSITIONS angstrom
Re 2.0407 0.1644 4.6947
Br 3.4458 0.2776 7.9274
Br 1.8548 -1.2960 2.6289
Be 3.4523 -1.1673 6.3039
! * relative energy among the computed polymorphs: 356 meV/atom
! * uncorrected formation energy: 0.510 eV/atom

Record 10
A relaxed structure of Ca4TcAs. Source: Alexandria via LeMat-Bulk, functional PBE-GGA. Values from VASP.

Quantum ESPRESSO input file:
```
&SYSTEM
  ibrav = 0, nat = 6, ntyp = 3
/
ATOMIC_SPECIES
Ca 40.08 Ca.upf
Tc 98.00 Tc.upf
As 74.92 As.upf
CELL_PARAMETERS angstrom
0.0000 4.4000 4.4000
4.4000 0.0000 4.4000
4.4000 4.4000 0.0000
ATOMIC_POSITIONS angstrom
Ca 5.4936 3.3064 5.4936
Ca 3.3064 5.4936 5.4936
Ca 5.4936 5.4936 3.3064
Ca 3.3064 3.3064 3.3064
Tc 6.6000 6.6000 6.6000
As 0.0000 0.0000 0.0000
```

Record 11
A relaxed structure of Zn2RuPb. Source: Alexandria via LeMat-Bulk, functional PBE-GGA. Values from VASP.

Quantum ESPRESSO input file:
```
&SYSTEM
  ibrav = 0, nat = 4, ntyp = 3
/
ATOMIC_SPECIES
Pb 207.20 Pb.upf
Ru 101.07 Ru.upf
Zn 65.41 Zn.upf
CELL_PARAMETERS angstrom
4.6258 0.0000 0.0000
2.3129 4.0061 0.0000
2.3129 1.3354 3.7770
ATOMIC_POSITIONS angstrom
Pb 4.6258 2.6707 1.8885
Ru 2.3129 1.3354 0.9442
Zn 0.0000 0.0000 0.0000
Zn 6.9388 4.0061 2.8327
```

Record 12
! KLi2Bi3Se6, optimized geometry, DFT PBE-GGA; values from VASP
&SYSTEM
  ibrav = 0, nat = 12, ntyp = 4
/
ATOMIC_SPECIES
K 39.10 K.upf
Li 6.94 Li.upf
Bi 208.98 Bi.upf
Se 78.96 Se.upf
CELL_PARAMETERS angstrom
-0.0947 -3.6298 -2.1639
0.5537 -4.5582 7.6221
-8.9290 2.7785 -0.1416
ATOMIC_POSITIONS angstrom
K -0.0473 -1.8149 -1.0819
Li -5.6663 -4.4409 3.5690
Li -2.8037 -0.9686 1.7476
Bi 0.2295 -4.0940 2.7291
Bi -5.9594 -1.9509 -0.5951
Bi -2.5106 -3.4587 5.9117
Se -5.3090 -3.4940 6.0934
Se -2.7531 -4.2639 3.1447
Se -3.1610 -1.9156 -0.7768
Se -0.0972 -1.2435 2.0902
Se -8.3728 -4.1660 3.2264
Se -5.7169 -1.1456 2.1719
! * uncorrected formation energy: -0.723 eV/atom

| no. | total energy (eV per atom) | magnetization (Bohr magnetons per cell) |
| --- | --- | --- |
| 1 | -9.00 | 0.00 |
| 2 | -3.78 | 0.00 |
| 3 | -4.10 | 0.00 |
| 4 | -2.29 | 0.00 |
| 5 | -4.02 | 0.00 |
| 6 | -4.61 | 0.07 |
| 7 | -5.30 | 11.37 |
| 8 | -4.73 | 0.00 |
| 9 | -4.37 | 1.29 |
| 10 | -3.03 | 2.08 |
| 11 | -3.46 | 0.00 |
| 12 | -3.85 | 0.00 |